Record 1
The following is a DFT calculation (GGA-PBEsol) of a relaxed structure of BePb2Au.

Unit cell a=3.5711 b=3.5948 c=8.0083 alpha=102.85 beta=90.00 gamma=119.78
Fractional coordinates of all 4 atoms:
Pb 0.2445 0.4890 0.2307
Au 0.0000 0.0000 0.5000
Pb 0.7555 0.5110 0.7693
Be 0.5000 0.0000 0.0000

Computed properties:
Density, kg/m3: 11944
Calculated formation energy, eV/atom: 0.366
DOS(E_F), states/eV/atom: 0.40
Magnetization, μB/f.u.: 0.0
Total DFT energy (no corrections), hartree per atom: -0.1328

=====

Record 2
The following is a DFT calculation (GGA-PBEsol) of a relaxed structure of BePbAu.

Unit cell a=4.4347 b=4.4347 c=4.4347 alpha=60.00 beta=60.00 gamma=60.00
Fractional coordinates of all 3 atoms:
Au 0.7500 0.7500 0.7500
Pb 0.5000 0.5000 0.5000
Be 0.0000 0.0000 0.0000

Computed properties:
Density, kg/m3: 11125
Calculated formation energy, eV/atom: 0.307
DOS(E_F), states/eV/atom: 0.30
Magnetization, μB/f.u.: 0.0
Total DFT energy (no corrections), hartree per atom: -0.1348

=====

Record 3
The following is a DFT calculation (GGA-PBEsol) of a relaxed structure of Be2PbAu.

Unit cell a=3.1015 b=3.1015 c=6.8462 alpha=90.00 beta=90.00 gamma=90.00
Fractional coordinates of all 4 atoms:
Pb 0.5000 0.5000 0.0000
Be 0.0000 0.0000 0.3331
Au 0.5000 0.5000 0.5000
Be 0.0000 0.0000 0.6669

Computed properties:
Density, kg/m3: 10645
Calculated formation energy, eV/atom: 0.268
DOS(E_F), states/eV/atom: 0.28
Magnetization, μB/f.u.: 0.0
Total DFT energy (no corrections), hartree per atom: -0.1364

=====

Record 4
The following is a DFT calculation (GGA-PBEsol) of a relaxed structure of BePb2Au.

Unit cell a=4.0441 b=4.0559 c=6.8935 alpha=107.01 beta=90.00 gamma=119.90
Fractional coordinates of all 4 atoms:
Pb 0.2194 0.4388 0.6598
Be 0.7902 0.5804 0.3722
Pb 0.0317 0.0635 0.0916
Au 0.4586 0.9173 0.3765

Computed properties:
Density, kg/m3: 11165
Calculated formation energy, eV/atom: 0.013
DOS(E_F), states/eV/atom: 0.30
Magnetization, μB/f.u.: 0.0
Total DFT energy (no corrections), hartree per atom: -0.1458

=====

Record 5
The following is a DFT calculation (GGA-PBEsol) of a relaxed structure of BePdAu2.

Unit cell a=5.1176 b=5.4686 c=5.4686 alpha=77.35 beta=62.10 gamma=62.10
Fractional coordinates of all 8 atoms:
Au 0.8750 0.5538 0.9462
Au 0.3750 0.4462 0.0538
Pd 0.0000 0.0000 0.0000
Pd 0.7500 0.5000 0.5000
Au 0.1788 0.9462 0.4462
Au 0.5712 0.0538 0.5538
Be 0.5000 0.0000 0.0000
Be 0.2500 0.5000 0.5000

Computed properties:
Density, kg/m3: 14151
Calculated formation energy, eV/atom: -0.055
DOS(E_F), states/eV/atom: 0.21
Magnetization, μB/f.u.: 0.0
Total DFT energy (no corrections), hartree per atom: -0.1656

=====

Record 6
The following is a DFT calculation (GGA-PBEsol) of a relaxed structure of BePt2Au.

Unit cell a=3.9138 b=3.9138 c=4.6474 alpha=114.90 beta=114.90 gamma=90.00
Fractional coordinates of all 4 atoms:
Au 0.5000 0.5000 0.0000
Pt 0.0000 0.0000 0.0000
Pt 0.7500 0.2500 0.5000
Be 0.2500 0.7500 0.5000

Computed properties:
Density, kg/m3: 17310
Calculated formation energy, eV/atom: -0.075
DOS(E_F), states/eV/atom: 0.68
Magnetization, μB/f.u.: 0.0
Total DFT energy (no corrections), hartree per atom: -0.2035